{"formula": "FeRe3Pt", "functional": "GGA-PBE", "state": "optimized geometry", "dft_energy_ev_per_cell": -44.7, "ef_mev_per_atom": 1424, "spacegroup": "Pm-3m (221)", "total_magnetization_mub_per_fu": 0.0, "lattice_angstrom": [[4.368, 0.000, 0.000], [0.000, 4.368, 0.000], [0.000, 0.000, 4.368]], "species": ["Fe", "Re", "Re", "Re", "Pt"], "fractional_positions": [[0.000, 0.000, 0.000], [0.000, 0.000, 0.500], [0.000, 0.500, 0.000], [0.500, 0.000, 0.000], [0.500, 0.500, 0.500]]}



{"formula": "AsP2Au", "functional": "GGA-PBE", "state": "optimized geometry", "dft_energy_ev_per_cell": -17.5, "ef_mev_per_atom": 321, "spacegroup": "Cm (8)", "total_magnetization_mub_per_fu": 0.0, "lattice_angstrom": [[5.593, -1.711, 0.000], [5.593, 1.711, 0.000], [-1.437, 0.000, 3.931]], "species": ["As", "P", "P", "Au"], "fractional_positions": [[0.000, 0.000, 0.000], [0.263, 0.263, 0.746], [0.624, 0.624, 0.399], [0.820, 0.820, 0.257]]}



{"formula": "Te4Pt", "functional": "GGA-PBE", "state": "optimized geometry", "formation_energy_uncorrected_ev_per_atom": 0.115, "dft_energy_ev_per_cell": -18.0, "spacegroup": "Im-3m (229)", "total_magnetization_mub_per_fu": 0.0, "lattice_angstrom": [[-3.328, 3.328, 3.328], [3.328, -3.328, 3.328], [3.328, 3.328, -3.328]], "species": ["Te", "Te", "Te", "Te", "Pt"], "fractional_positions": [[0.000, 0.000, 0.500], [0.000, 0.500, 0.000], [0.500, 0.000, 0.000], [0.500, 0.500, 0.500], [0.000, 0.000, 0.000]]}



{"formula": "AsRh", "functional": "GGA-PBE", "state": "optimized geometry", "dft_energy_ev_per_cell": -99.5, "ef_mev_per_atom": -216, "spacegroup": "P4/m (83)", "total_magnetization_mub_per_fu": 0.0, "lattice_angstrom": [[11.310, 0.000, 0.000], [0.000, 11.310, 0.000], [0.000, 0.000, 3.253]], "species": ["As", "As", "As", "As", "As", "As", "As", "As", "Rh", "Rh", "Rh", "Rh", "Rh", "Rh", "Rh", "Rh"], "fractional_positions": [[0.093, 0.651, 0.000], [0.249, 0.370, 0.500], [0.349, 0.093, 0.000], [0.370, 0.751, 0.500], [0.630, 0.249, 0.500], [0.651, 0.907, 0.000], [0.751, 0.630, 0.500], [0.907, 0.349, 0.000], [0.105, 0.430, 0.000], [0.235, 0.590, 0.500], [0.410, 0.235, 0.500], [0.430, 0.895, 0.000], [0.570, 0.105, 0.000], [0.590, 0.765, 0.500], [0.765, 0.410, 0.500], [0.895, 0.570, 0.000]]}



{"formula": "Tb5Sm2Tm3", "functional": "GGA-PBE", "state": "optimized geometry", "dft_energy_ev_per_cell": -83.8, "ef_mev_per_atom": 409, "spacegroup": "Ibam (72)", "total_magnetization_mub_per_fu": 0.0, "lattice_angstrom": [[-4.663, 10.822, 3.379], [4.663, -10.822, 3.379], [4.663, 10.822, -3.379]], "species": ["Tb", "Tb", "Tb", "Tb", "Tb", "Tb", "Tb", "Tb", "Tb", "Tb", "Sm", "Sm", "Sm", "Sm", "Tm", "Tm", "Tm", "Tm", "Tm", "Tm"], "fractional_positions": [[0.000, 0.250, 0.750], [0.000, 0.750, 0.250], [0.125, 0.092, 0.217], [0.250, 0.250, 0.000], [0.375, 0.592, 0.967], [0.500, 0.250, 0.250], [0.500, 0.750, 0.750], [0.625, 0.408, 0.033], [0.750, 0.750, 0.000], [0.875, 0.908, 0.783], [0.124, 0.400, 0.525], [0.376, 0.900, 0.276], [0.624, 0.100, 0.724], [0.876, 0.600, 0.475], [0.123, 0.749, 0.872], [0.250, 0.750, 0.500], [0.377, 0.249, 0.626], [0.623, 0.751, 0.374], [0.750, 0.250, 0.500], [0.877, 0.251, 0.128]]}



{"formula": "ReIr2Cl", "functional": "GGA-PBE", "state": "optimized geometry", "formation_energy_uncorrected_ev_per_atom": 0.900, "dft_energy_ev_per_cell": -56.8, "spacegroup": "I-42d (122)", "total_magnetization_mub_per_fu": 0.0, "lattice_angstrom": [[-3.109, 3.109, 4.327], [3.109, -3.109, 4.327], [3.109, 3.109, -4.327]], "species": ["Re", "Re", "Ir", "Ir", "Ir", "Ir", "Cl", "Cl"], "fractional_positions": [[0.000, 0.000, 0.000], [0.750, 0.250, 0.500], [0.106, 0.625, 0.981], [0.375, 0.356, 0.481], [0.644, 0.125, 0.019], [0.875, 0.894, 0.519], [0.250, 0.750, 0.500], [0.500, 0.500, 0.000]]}



{"formula": "SmTcB3", "functional": "GGA-PBE", "state": "optimized geometry", "dft_energy_ev_per_cell": -70.2, "ef_mev_per_atom": 5, "spacegroup": "Cmmm (65)", "total_magnetization_mub_per_fu": 0.0, "lattice_angstrom": [[3.343, -4.806, 0.000], [3.343, 4.806, 0.000], [0.000, 0.000, 3.706]], "species": ["Sm", "Sm", "Tc", "Tc", "B", "B", "B", "B", "B", "B"], "fractional_positions": [[0.000, 0.000, 0.000], [0.500, 0.500, 0.000], [0.000, 0.500, 0.000], [0.500, 0.000, 0.000], [0.121, 0.333, 0.500], [0.215, 0.785, 0.500], [0.333, 0.121, 0.500], [0.667, 0.879, 0.500], [0.785, 0.215, 0.500], [0.879, 0.667, 0.500]]}



{"formula": "PmEuPd", "functional": "GGA-PBE", "state": "optimized geometry", "dft_energy_ev_per_cell": -21.4, "ef_mev_per_atom": -406, "spacegroup": "F-43m (216)", "total_magnetization_mub_per_fu": 7.4, "lattice_angstrom": [[0.000, 3.569, 3.569], [3.569, 0.000, 3.569], [3.569, 3.569, 0.000]], "species": ["Pm", "Eu", "Pd"], "fractional_positions": [[0.000, 0.000, 0.000], [0.500, 0.500, 0.500], [0.250, 0.250, 0.250]]}



{"formula": "Ir3Os", "functional": "GGA-PBE", "state": "optimized geometry", "dft_energy_ev_per_cell": -71.7, "ef_mev_per_atom": 485, "spacegroup": "Pm-3n (223)", "total_magnetization_mub_per_fu": 0.0, "lattice_angstrom": [[4.935, 0.000, 0.000], [0.000, 4.935, 0.000], [0.000, 0.000, 4.935]], "species": ["Ir", "Ir", "Ir", "Ir", "Ir", "Ir", "Os", "Os"], "fractional_positions": [[0.000, 0.250, 0.500], [0.000, 0.750, 0.500], [0.250, 0.500, 0.000], [0.500, 0.000, 0.250], [0.500, 0.000, 0.750], [0.750, 0.500, 0.000], [0.000, 0.000, 0.000], [0.500, 0.500, 0.500]]}



{"formula": "Li2HoZr2Se6", "functional": "GGA-PBE", "state": "optimized geometry", "formation_energy_uncorrected_ev_per_atom": -1.453, "dft_energy_ev_per_cell": -62.4, "spacegroup": "C2/m (12)", "total_magnetization_mub_per_fu": 0.0, "lattice_angstrom": [[3.348, -5.834, 0.000], [3.348, 5.834, 0.000], [-2.237, 0.000, 6.561]], "species": ["Li", "Li", "Ho", "Zr", "Zr", "Se", "Se", "Se", "Se", "Se", "Se"], "fractional_positions": [[0.165, 0.835, 0.000], [0.835, 0.165, 0.000], [0.000, 0.000, 0.500], [0.334, 0.666, 0.500], [0.666, 0.334, 0.500], [0.081, 0.427, 0.748], [0.262, 0.262, 0.250], [0.427, 0.081, 0.748], [0.573, 0.919, 0.252], [0.738, 0.738, 0.750], [0.919, 0.573, 0.252]]}



{"formula": "Sn2HRhBr", "functional": "GGA-PBE", "state": "optimized geometry", "dft_energy_ev_per_cell": -21.4, "spacegroup": "P4/mmm (123)", "total_magnetization_mub_per_fu": 0.0, "lattice_angstrom": [[5.273, 0.000, 0.000], [0.000, 5.273, 0.000], [0.000, 0.000, 3.602]], "species": ["Sn", "Sn", "H", "Rh", "Br"], "fractional_positions": [[0.000, 0.500, 0.000], [0.500, 0.000, 0.000], [0.000, 0.000, 0.500], [0.000, 0.000, 0.000], [0.500, 0.500, 0.500]]}



{"formula": "MgZn2Cd", "functional": "GGA-PBE", "state": "optimized geometry", "dft_energy_ev_per_cell": -5.1, "ef_mev_per_atom": -5, "spacegroup": "P4mm (99)", "total_magnetization_mub_per_fu": 0.0, "lattice_angstrom": [[3.076, 0.000, 0.000], [0.000, 3.076, 0.000], [0.000, 0.000, 7.811]], "species": ["Mg", "Zn", "Zn", "Cd"], "fractional_positions": [[0.000, 0.000, 0.000], [0.000, 0.000, 0.448], [0.500, 0.500, 0.244], [0.500, 0.500, 0.709]]}



{"formula": "Pm3Pr2Nd6Mg", "functional": "GGA-PBE", "state": "optimized geometry", "dft_energy_ev_per_cell": -53.9, "ef_mev_per_atom": 12, "spacegroup": "C2/m (12)", "total_magnetization_mub_per_fu": 0.0, "lattice_angstrom": [[3.157, -5.472, 0.000], [3.157, 5.472, 0.000], [-2.119, 0.000, 11.879]], "species": ["Pm", "Pm", "Pm", "Pr", "Pr", "Nd", "Nd", "Nd", "Nd", "Nd", "Nd", "Mg"], "fractional_positions": [[0.000, 0.000, 0.000], [0.333, 0.667, 0.000], [0.667, 0.333, 0.000], [0.167, 0.833, 0.500], [0.833, 0.167, 0.500], [0.088, 0.418, 0.251], [0.253, 0.253, 0.750], [0.418, 0.088, 0.251], [0.582, 0.912, 0.749], [0.747, 0.747, 0.250], [0.912, 0.582, 0.749], [0.500, 0.500, 0.500]]}



{"formula": "Sr2Al4Zn3Ga", "functional": "GGA-PBE", "state": "optimized geometry", "dft_energy_ev_per_cell": -28.0, "ef_mev_per_atom": -284, "spacegroup": "P-4m2 (115)", "total_magnetization_mub_per_fu": 0.0, "lattice_angstrom": [[4.381, 0.000, 0.000], [0.000, 4.381, 0.000], [0.000, 0.000, 11.041]], "species": ["Sr", "Sr", "Al", "Al", "Al", "Al", "Zn", "Zn", "Zn", "Ga"], "fractional_positions": [[0.000, 0.500, 0.247], [0.500, 0.000, 0.753], [0.000, 0.000, 0.500], [0.000, 0.500, 0.867], [0.500, 0.000, 0.133], [0.500, 0.500, 0.500], [0.000, 0.000, 0.000], [0.000, 0.500, 0.636], [0.500, 0.000, 0.364], [0.500, 0.500, 0.000]]}



{"formula": "Ce6Tc2IrBr3", "functional": "GGA-PBE", "state": "optimized geometry", "formation_energy_uncorrected_ev_per_atom": -0.750, "dft_energy_ev_per_cell": -79.2, "spacegroup": "C2/m (12)", "total_magnetization_mub_per_fu": 2.9, "lattice_angstrom": [[3.504, -6.070, 0.000], [3.504, 6.070, 0.000], [-2.334, 0.000, 7.678]], "species": ["Ce", "Ce", "Ce", "Ce", "Ce", "Ce", "Tc", "Tc", "Ir", "Br", "Br", "Br"], "fractional_positions": [[0.096, 0.435, 0.804], [0.227, 0.227, 0.197], [0.435, 0.096, 0.804], [0.565, 0.904, 0.196], [0.773, 0.773, 0.803], [0.904, 0.565, 0.196], [0.167, 0.833, 0.000], [0.833, 0.167, 0.000], [0.500, 0.500, 0.000], [0.000, 0.000, 0.500], [0.332, 0.668, 0.500], [0.668, 0.332, 0.500]]}



{"formula": "Ce2Hg2Rh3", "functional": "GGA-PBE", "state": "optimized geometry", "dft_energy_ev_per_cell": -38.4, "ef_mev_per_atom": -556, "spacegroup": "P-1 (2)", "total_magnetization_mub_per_fu": 0.0, "lattice_angstrom": [[4.009, 0.000, 0.000], [-1.771, 4.954, 0.000], [-0.091, -1.830, 7.316]], "species": ["Ce", "Ce", "Hg", "Hg", "Rh", "Rh", "Rh"], "fractional_positions": [[0.113, 0.254, 0.316], [0.887, 0.746, 0.684], [0.380, 0.750, 0.066], [0.620, 0.250, 0.934], [0.160, 0.366, 0.700], [0.500, 0.000, 0.500], [0.840, 0.634, 0.300]]}



{"formula": "Y2TiAl2Pt5", "functional": "GGA-PBE", "state": "optimized geometry", "dft_energy_ev_per_cell": -137.8, "ef_mev_per_atom": -1037, "spacegroup": "P4/mbm (127)", "total_magnetization_mub_per_fu": 0.0, "lattice_angstrom": [[10.029, 0.000, 0.000], [0.000, 10.029, 0.000], [0.000, 0.000, 3.558]], "species": ["Y", "Y", "Y", "Y", "Ti", "Ti", "Al", "Al", "Al", "Al", "Pt", "Pt", "Pt", "Pt", "Pt", "Pt", "Pt", "Pt", "Pt", "Pt"], "fractional_positions": [[0.176, 0.324, 0.000], [0.324, 0.824, 0.000], [0.676, 0.176, 0.000], [0.824, 0.676, 0.000], [0.000, 0.000, 0.000], [0.500, 0.500, 0.000], [0.125, 0.625, 0.000], [0.375, 0.125, 0.000], [0.625, 0.875, 0.000], [0.875, 0.375, 0.000], [0.000, 0.500, 0.500], [0.053, 0.799, 0.500], [0.201, 0.053, 0.500], [0.299, 0.553, 0.500], [0.447, 0.299, 0.500], [0.500, 0.000, 0.500], [0.553, 0.701, 0.500], [0.701, 0.447, 0.500], [0.799, 0.947, 0.500], [0.947, 0.201, 0.500]]}



{"formula": "Pm2SmInC", "functional": "GGA-PBE", "state": "optimized geometry", "dft_energy_ev_per_cell": -28.0, "ef_mev_per_atom": -369, "spacegroup": "P4/mmm (123)", "total_magnetization_mub_per_fu": 0.0, "lattice_angstrom": [[5.087, 0.000, 0.000], [0.000, 5.087, 0.000], [0.000, 0.000, 5.060]], "species": ["Pm", "Pm", "Sm", "In", "C"], "fractional_positions": [[0.000, 0.500, 0.000], [0.500, 0.000, 0.000], [0.000, 0.000, 0.500], [0.500, 0.500, 0.500], [0.000, 0.000, 0.000]]}



{"formula": "PrMnIr", "functional": "GGA-PBE", "state": "optimized geometry", "dft_energy_ev_per_cell": -91.2, "ef_mev_per_atom": 4, "spacegroup": "Fddd (70)", "total_magnetization_mub_per_fu": 3.7, "lattice_angstrom": [[0.000, 5.182, 9.815], [2.559, 0.000, 9.815], [2.559, 5.182, 0.000]], "species": ["Pr", "Pr", "Pr", "Pr", "Mn", "Mn", "Mn", "Mn", "Ir", "Ir", "Ir", "Ir"], "fractional_positions": [[0.028, 0.722, 0.028], [0.278, 0.972, 0.278], [0.722, 0.028, 0.722], [0.972, 0.278, 0.972], [0.279, 0.279, 0.471], [0.471, 0.471, 0.279], [0.529, 0.529, 0.721], [0.721, 0.721, 0.529], [0.001, 0.001, 0.749], [0.251, 0.251, 0.999], [0.749, 0.749, 0.001], [0.999, 0.999, 0.251]]}



{"formula": "NbP2ICl", "functional": "GGA-PBE", "state": "optimized geometry", "formation_energy_uncorrected_ev_per_atom": 0.109, "dft_energy_ev_per_cell": -23.7, "spacegroup": "P4/mmm (123)", "total_magnetization_mub_per_fu": 0.0, "lattice_angstrom": [[4.960, 0.000, 0.000], [0.000, 4.960, 0.000], [0.000, 0.000, 4.852]], "species": ["Nb", "P", "P", "I", "Cl"], "fractional_positions": [[0.000, 0.000, 0.000], [0.000, 0.500, 0.000], [0.500, 0.000, 0.000], [0.500, 0.500, 0.500], [0.000, 0.000, 0.500]]}



{"formula": "Ba2AlIr", "functional": "GGA-PBE", "state": "optimized geometry", "dft_energy_ev_per_cell": -17.3, "ef_mev_per_atom": -211, "spacegroup": "Imm2 (44)", "total_magnetization_mub_per_fu": 0.0, "lattice_angstrom": [[-2.194, 2.341, 7.436], [2.194, -2.341, 7.436], [2.194, 2.341, -7.436]], "species": ["Ba", "Ba", "Al", "Ir"], "fractional_positions": [[0.000, 0.000, 0.000], [0.753, 0.253, 0.500], [0.420, 0.420, 0.000], [0.351, 0.851, 0.500]]}



{"formula": "ScTiAs2S", "functional": "GGA-PBE", "state": "optimized geometry", "formation_energy_uncorrected_ev_per_atom": 0.142, "dft_energy_ev_per_cell": -26.9, "spacegroup": "P4/mmm (123)", "total_magnetization_mub_per_fu": 0.0, "lattice_angstrom": [[4.637, 0.000, 0.000], [0.000, 4.637, 0.000], [0.000, 0.000, 5.772]], "species": ["Sc", "Ti", "As", "As", "S"], "fractional_positions": [[0.000, 0.000, 0.000], [0.000, 0.000, 0.500], [0.000, 0.500, 0.500], [0.500, 0.000, 0.500], [0.500, 0.500, 0.000]]}



{"formula": "YGa2Pd3", "functional": "GGA-PBE", "state": "optimized geometry", "dft_energy_ev_per_cell": -66.1, "ef_mev_per_atom": -827, "spacegroup": "P6_3/mmc (194)", "total_magnetization_mub_per_fu": 0.0, "lattice_angstrom": [[4.412, 0.000, 0.000], [-2.206, 3.821, 0.000], [0.000, 0.000, 12.436]], "species": ["Y", "Y", "Ga", "Ga", "Ga", "Ga", "Pd", "Pd", "Pd", "Pd", "Pd", "Pd"], "fractional_positions": [[0.000, 0.000, 0.250], [0.000, 0.000, 0.750], [0.333, 0.667, 0.086], [0.333, 0.667, 0.414], [0.667, 0.333, 0.586], [0.667, 0.333, 0.914], [0.000, 0.000, 0.000], [0.000, 0.000, 0.500], [0.333, 0.667, 0.625], [0.333, 0.667, 0.875], [0.667, 0.333, 0.125], [0.667, 0.333, 0.375]]}